[1]
Material: Ba2AlSb3O8
Method: DFT, GGA-PBE
State: relaxed

Output
The uncorrected formation energy comes out at -1611 meV/atom. The symmetry is P4/mmm, No. 123.

Lattice parameters (Å, degrees): 4.268 4.268 11.887 90.00 90.00 90.00
Element x y z (fractional)
Ba  0.000  0.000  0.179
Ba  0.000  0.000  0.821
Al  0.000  0.000  0.500
Sb  0.500  0.500  0.000
Sb  0.500  0.500  0.356
Sb  0.500  0.500  0.644
O  0.000  0.500  0.000
O  0.000  0.500  0.341
O  0.000  0.500  0.659
O  0.500  0.000  0.000
O  0.500  0.000  0.341
O  0.500  0.000  0.659
O  0.500  0.500  0.180
O  0.500  0.500  0.820

[2]
Material: Ba2ScAlO5
Method: DFT, GGA-PBE
State: relaxed

Output
The offset from the most stable computed form comes out at 0.048 eV/atom. The uncorrected formation energy comes out at -2937 meV/atom. The symmetry is Cmc2_1, No. 36.

Lattice parameters (Å, degrees): 7.768 7.768 11.197 90.00 90.00 154.95
Element x y z (fractional)
Ba  0.113  0.887  0.500
Ba  0.133  0.867  0.140
Ba  0.867  0.133  0.640
Ba  0.887  0.113  0.000
Sc  0.210  0.790  0.848
Sc  0.790  0.210  0.348
Al  0.440  0.560  0.259
Al  0.560  0.440  0.759
O  0.050  0.950  0.829
O  0.292  0.708  0.466
O  0.324  0.676  0.221
O  0.338  0.662  0.826
O  0.498  0.502  0.123
O  0.502  0.498  0.623
O  0.662  0.338  0.326
O  0.676  0.324  0.721
O  0.708  0.292  0.966
O  0.950  0.050  0.329

[3]
Material: Ba7Sc6Al2O19
Method: DFT, GGA-PBE
State: relaxed

Output
The uncorrected formation energy comes out at -3132 meV/atom. The symmetry is P6_3/mmc, No. 194.

Lattice parameters (Å, degrees): 5.856 5.856 35.674 90.00 90.00 120.00
Element x y z (fractional)
Ba  0.000  0.000  0.054
Ba  0.000  0.000  0.250
Ba  0.000  0.000  0.446
Ba  0.000  0.000  0.554
Ba  0.000  0.000  0.750
Ba  0.000  0.000  0.946
Ba  0.333  0.667  0.107
Ba  0.333  0.667  0.393
Ba  0.333  0.667  0.672
Ba  0.333  0.667  0.828
Ba  0.667  0.333  0.172
Ba  0.667  0.333  0.328
Ba  0.667  0.333  0.607
Ba  0.667  0.333  0.893
Sc  0.000  0.000  0.148
Sc  0.000  0.000  0.352
Sc  0.000  0.000  0.648
Sc  0.000  0.000  0.852
Sc  0.333  0.667  0.005
Sc  0.333  0.667  0.495
Sc  0.333  0.667  0.579
Sc  0.333  0.667  0.921
Sc  0.667  0.333  0.079
Sc  0.667  0.333  0.421
Sc  0.667  0.333  0.505
Sc  0.667  0.333  0.995
Al  0.333  0.667  0.201
Al  0.333  0.667  0.299
Al  0.667  0.333  0.701
Al  0.667  0.333  0.799
O  0.010  0.505  0.538
O  0.010  0.505  0.962
O  0.166  0.332  0.612
O  0.166  0.332  0.888
O  0.166  0.834  0.612
O  0.166  0.834  0.888
O  0.168  0.337  0.185
O  0.168  0.337  0.315
O  0.168  0.832  0.185
O  0.168  0.832  0.315
O  0.332  0.166  0.112
O  0.332  0.166  0.388
O  0.333  0.667  0.250
O  0.337  0.168  0.685
O  0.337  0.168  0.815
O  0.495  0.505  0.538
O  0.495  0.505  0.962
O  0.495  0.990  0.538
O  0.495  0.990  0.962
O  0.505  0.010  0.038
O  0.505  0.010  0.462
O  0.505  0.495  0.038
O  0.505  0.495  0.462
O  0.663  0.832  0.185
O  0.663  0.832  0.315
O  0.667  0.333  0.750
O  0.668  0.834  0.612
O  0.668  0.834  0.888
O  0.832  0.168  0.685
O  0.832  0.168  0.815
O  0.832  0.663  0.685
O  0.832  0.663  0.815
O  0.834  0.166  0.112
O  0.834  0.166  0.388
O  0.834  0.668  0.112
O  0.834  0.668  0.388
O  0.990  0.495  0.038
O  0.990  0.495  0.462

[4]
Material: BaScAlO4
Method: DFT, GGA-PBE
State: relaxed

Output
The uncorrected formation energy comes out at -3024 meV/atom. The symmetry is P2_1/m, No. 11.

Lattice parameters (Å, degrees): 5.485 5.671 7.157 90.00 109.00 90.00
Element x y z (fractional)
Ba  0.213  0.250  0.438
Ba  0.787  0.750  0.562
Sc  0.317  0.250  0.974
Sc  0.683  0.750  0.026
Al  0.236  0.750  0.158
Al  0.764  0.250  0.842
O  0.005  0.250  0.071
O  0.058  0.750  0.323
O  0.470  0.519  0.183
O  0.470  0.981  0.183
O  0.530  0.019  0.817
O  0.530  0.481  0.817
O  0.942  0.250  0.677
O  0.995  0.750  0.929

[5]
Material: Ba2ScAlO5
Method: DFT, GGA-PBE
State: relaxed

Output
The offset from the most stable computed form comes out at 0.000 eV/atom. The uncorrected formation energy comes out at -2985 meV/atom. The symmetry is Cm, No. 8.

Lattice parameters (Å, degrees): 5.870 5.870 14.655 90.39 90.39 59.54
Element x y z (fractional)
Ba  0.000  0.000  0.000
Ba  0.000  0.000  0.301
Ba  0.327  0.327  0.840
Ba  0.334  0.334  0.465
Ba  0.654  0.654  0.641
Ba  0.683  0.683  0.150
Sc  0.664  0.664  0.909
Sc  0.669  0.669  0.391
Sc  0.995  0.995  0.763
Al  0.011  0.011  0.527
Al  0.355  0.355  0.056
Al  0.357  0.357  0.248
O  0.027  0.493  0.989
O  0.029  0.498  0.315
O  0.077  0.077  0.640
O  0.171  0.596  0.152
O  0.322  0.807  0.829
O  0.327  0.827  0.477
O  0.493  0.027  0.989
O  0.498  0.029  0.315
O  0.509  0.509  0.997
O  0.511  0.511  0.308
O  0.596  0.171  0.152
O  0.806  0.806  0.791
O  0.807  0.322  0.829
O  0.827  0.327  0.477
O  0.837  0.837  0.512

[6]
Material: BaAl2Si2O8
Method: DFT, GGA-PBE
State: relaxed

Output
The uncorrected formation energy comes out at -3019 meV/atom. The symmetry is P-3, No. 147.

Lattice parameters (Å, degrees): 5.342 5.342 7.949 90.00 90.00 120.00
Element x y z (fractional)
Ba  0.000  0.000  0.000
Al  0.333  0.667  0.297
Al  0.667  0.333  0.703
Si  0.333  0.667  0.714
Si  0.667  0.333  0.286
O  0.011  0.574  0.791
O  0.333  0.667  0.513
O  0.426  0.437  0.791
O  0.437  0.011  0.209
O  0.563  0.989  0.791
O  0.574  0.563  0.209
O  0.667  0.333  0.487
O  0.989  0.426  0.209

[7]
Material: BaSmAlO4
Method: DFT, GGA-PBE
State: relaxed

Output
The uncorrected formation energy comes out at -3045 meV/atom. The symmetry is P2_1/m, No. 11.

Lattice parameters (Å, degrees): 5.746 5.845 7.243 90.00 108.04 90.00
Element x y z (fractional)
Ba  0.205  0.250  0.427
Ba  0.795  0.750  0.573
Sm  0.299  0.250  0.960
Sm  0.701  0.750  0.040
Al  0.248  0.750  0.173
Al  0.752  0.250  0.827
O  0.048  0.750  0.934
O  0.058  0.750  0.325
O  0.460  0.518  0.205
O  0.460  0.982  0.205
O  0.540  0.018  0.795
O  0.540  0.482  0.795
O  0.942  0.250  0.675
O  0.952  0.250  0.066

[8]
Material: Ba2SmAlO5
Method: DFT, GGA-PBE
State: relaxed

Output
The uncorrected formation energy comes out at -2877 meV/atom. The symmetry is Cmc2_1, No. 36.

Lattice parameters (Å, degrees): 7.870 7.870 11.580 90.00 90.00 154.14
Element x y z (fractional)
Ba  0.105  0.895  0.500
Ba  0.134  0.866  0.157
Ba  0.866  0.134  0.657
Ba  0.895  0.105  0.000
Sm  0.202  0.798  0.862
Sm  0.798  0.202  0.362
Al  0.451  0.549  0.250
Al  0.549  0.451  0.750
O  0.035  0.965  0.814
O  0.291  0.709  0.492
O  0.335  0.665  0.230
O  0.345  0.655  0.835
O  0.496  0.504  0.617
O  0.504  0.496  0.117
O  0.655  0.345  0.335
O  0.665  0.335  0.730
O  0.709  0.291  0.992
O  0.965  0.035  0.314

Number 1: E -0.431 Ry per atom. Number 2: E -0.532 Ry per atom. Number 3: E -0.561 Ry per atom. Number 4: E -0.556 Ry per atom. Number 5: E -0.536 Ry per atom. Number 6: E -0.561 Ry per atom. Number 7: E -0.541 Ry per atom. Number 8: E -0.514 Ry per atom.